A crystal of CrCo2Ru relaxed with PBEsol. Source: the Alexandria database, functional meta-GGA SCAN.

```
CrCo2Ru
1.0
2.4964 0.0000 0.0000
0.0000 2.4964 0.0000
0.0000 0.0000 7.0991
Co Cr Ru
2 1 1
direct
0.0000 0.0000 0.7596 Co
0.0000 0.0000 0.2404 Co
0.5000 0.5000 0.0000 Cr
0.5000 0.5000 0.5000 Ru
```

Summary:
For the total magnetic moment, the calculation gives 0.001 μB per formula unit. As for the energy relative to the lowest polymorph listed for this composition: 200 meV per atom. The value obtained for the calculated density is 10.17 g cm⁻³. As for the energy of formation: 0.291 eV per atom.

A crystal of K2TaMo relaxed with PBEsol. Source: the Alexandria database, functional meta-GGA SCAN.

```
K2TaMo
1.0
3.1586 0.0000 0.0000
0.0000 6.4952 0.0000
-1.5793 -3.2476 5.9797
K Mo Ta
2 1 1
direct
0.9829 0.9829 0.9658 K
0.7761 0.2761 0.5521 K
0.5472 0.5472 0.0945 Mo
0.1938 0.6938 0.3876 Ta
```

Summary:
For the total magnetic moment, the calculation gives 0.000 μB per formula unit. As for the energy relative to the lowest polymorph listed for this composition: 0 meV per atom. The value obtained for the calculated density is 4.81 g cm⁻³. As for the energy of formation: 1.171 eV per atom.

A crystal of CaCdTe2I relaxed with PBEsol. Source: the Alexandria database, functional meta-GGA SCAN.

```
CaCdTe2I
1.0
-3.6815 3.5031 2.0854
-4.0765 -3.1996 -1.8218
0.0564 -2.9581 5.0688
I Ca Te Cd
1 1 2 1
direct
0.0000 0.0000 0.5000 I
0.5000 0.5000 0.5000 Ca
0.0000 0.5000 0.0000 Te
0.5000 0.0000 0.0000 Te
0.0000 0.0000 0.0000 Cd
```

Summary:
For the total magnetic moment, the calculation gives 0.000 μB per formula unit. The value obtained for the calculated density is 5.01 g cm⁻³. Its uncorrected formation energy is -0.41 eV per atom.

A crystal of BaTe2P relaxed with PBEsol. Source: the Alexandria database, functional meta-GGA SCAN.

```
BaTe2P
1.0
-4.6413 0.7558 -0.5053
0.4008 -0.6586 -4.6662
-0.8525 -4.8286 0.6083
Ba P Te
1 1 2
direct
0.5000 0.5000 0.5000 Ba
0.0000 0.0000 0.5000 P
0.0000 0.5000 0.0000 Te
0.5000 0.0000 0.0000 Te
```

Summary:
For the total magnetic moment, the calculation gives 0.000 μB per formula unit. The value obtained for the calculated density is 6.36 g cm⁻³. Its uncorrected formation energy is -0.38 eV per atom.

A crystal of MnCuHPd2 relaxed with PBEsol. Source: the Alexandria database, functional meta-GGA SCAN.

```
MnCuHPd2
1.0
-2.7145 0.2832 0.9147
-1.2105 -3.9689 -2.3637
1.0287 -2.6137 3.8620
H Mn Cu Pd
1 1 1 2
direct
0.5000 0.0000 0.0000 H
0.5000 0.5000 0.5000 Mn
0.0000 0.0000 0.0000 Cu
0.0000 0.0000 0.5000 Pd
0.0000 0.5000 0.0000 Pd
```

Summary:
For the total magnetic moment, the calculation gives 4.825 μB per formula unit. The value obtained for the calculated density is 8.41 g cm⁻³. For the total energy, the calculation gives -101.53 eV per cell.

A crystal of Tm3B7W relaxed with PBEsol. Source: the Alexandria database, functional meta-GGA SCAN.

```
Tm3B7W
1.0
-2.2202 -0.4958 -2.5211
0.2057 -7.1846 3.5187
-6.9870 2.5663 5.6485
B Tm W
14 6 2
direct
0.2720 0.5441 0.0329 B
0.7280 0.4559 0.9671 B
0.2720 0.5441 0.4671 B
0.7280 0.4559 0.5329 B
0.3648 0.7295 0.3529 B
0.6352 0.2705 0.6471 B
0.3648 0.7295 0.1471 B
0.6352 0.2705 0.8529 B
0.4812 0.9625 0.4089 B
0.5188 0.0375 0.5911 B
0.4812 0.9625 0.0911 B
0.5188 0.0375 0.9089 B
0.5479 0.0959 0.2500 B
0.4521 0.9041 0.7500 B
0.1072 0.2143 0.0592 Tm
0.8928 0.7857 0.9408 Tm
0.1072 0.2143 0.4408 Tm
0.8928 0.7857 0.5592 Tm
0.7553 0.5107 0.2500 Tm
0.2447 0.4893 0.7500 Tm
0.9473 0.8947 0.2500 W
0.0527 0.1053 0.7500 W
```

Summary:
For the total magnetic moment, the calculation gives 0.000 μB per formula unit. The value obtained for the calculated density is 10.26 g cm⁻³. As for the energy of formation: -0.695 eV per atom.

A crystal of Ag2HgPt relaxed with PBEsol. Source: the Alexandria database, functional meta-GGA SCAN.

```
Ag2HgPt
1.0
2.9077 0.0000 0.0000
0.0000 2.9077 0.0000
0.0000 0.0000 8.0096
Pt Hg Ag
1 1 2
direct
0.5000 0.5000 0.7570 Pt
0.0000 0.0000 0.5070 Hg
0.0000 0.0000 0.9950 Ag
0.5000 0.5000 0.2410 Ag
```

Summary:
For the total magnetic moment, the calculation gives 0.000 μB per formula unit. The value obtained for the calculated density is 14.99 g cm⁻³. As for the energy of formation: 0.043 eV per atom.

A crystal of SiBi2O5 relaxed with PBEsol. Source: the Alexandria database, functional meta-GGA SCAN.

```
SiBi2O5
1.0
5.3181 0.0000 0.0000
0.0000 5.4792 0.0000
0.0000 -2.7396 7.5673
Si Bi O
2 4 10
direct
0.2989 0.6795 0.0000 Si
0.7989 0.3205 0.0000 Si
0.7478 0.6130 0.6698 Bi
0.2478 0.3870 0.3302 Bi
0.2478 0.0568 0.6698 Bi
0.7478 0.9432 0.3302 Bi
0.5150 0.2589 0.5030 O
0.0150 0.7411 0.4970 O
0.0150 0.2440 0.5030 O
0.5150 0.7560 0.4970 O
0.3237 0.7340 0.8153 O
0.8237 0.2660 0.1847 O
0.5259 0.4682 0.0000 O
0.0259 0.5318 0.0000 O
0.3237 0.9187 0.1847 O
0.8237 0.0813 0.8153 O
```

Summary:
For the total magnetic moment, the calculation gives 0.000 μB per formula unit. As for the energy relative to the lowest polymorph listed for this composition: 0 meV per atom. The value obtained for the calculated density is 7.92 g cm⁻³. Its uncorrected formation energy is -1.90 eV per atom.

A crystal of Zr3OsW relaxed with PBEsol. Source: the Alexandria database, functional meta-GGA SCAN.

```
Zr3OsW
1.0
4.8817 0.0000 0.0000
0.0000 4.8817 0.0000
0.0000 0.0000 4.8817
Os Zr W
1 3 1
direct
0.5000 0.5000 0.5000 Os
0.0000 0.5000 0.0000 Zr
0.0000 0.0000 0.5000 Zr
0.5000 0.0000 0.0000 Zr
0.0000 0.0000 0.0000 W
```

Summary:
For the total magnetic moment, the calculation gives 0.000 μB per formula unit. The value obtained for the calculated density is 9.25 g cm⁻³. As for the energy of formation: 1.329 eV per atom.

A crystal of KBeAu2 relaxed with PBEsol. Source: the Alexandria database, functional meta-GGA SCAN.

```
KBeAu2
1.0
2.9562 0.0000 0.0000
1.4781 5.5347 0.1299
1.4781 2.5809 4.8978
Be K Au
1 1 2
direct
0.5000 0.0000 0.0000 Be
0.0000 0.5000 0.5000 K
0.1790 0.8210 0.8210 Au
0.8210 0.1790 0.1790 Au
```

Summary:
For the total magnetic moment, the calculation gives 0.000 μB per formula unit. The value obtained for the calculated density is 9.27 g cm⁻³. As for the energy of formation: -0.111 eV per atom.

A crystal of LaRh3 relaxed with PBEsol. Source: the Alexandria database, functional meta-GGA SCAN.

```
LaRh3
1.0
-2.7839 -4.2522 1.3895
1.5678 -4.7914 -1.5318
4.3957 -3.7748 7.2449
La Rh
3 9
direct
0.1389 0.1389 0.5832 La
0.0000 0.0000 0.0000 La
0.8611 0.8611 0.4168 La
0.9176 0.4197 0.2430 Rh
0.4197 0.9176 0.2430 Rh
0.5803 0.5803 0.7570 Rh
0.0824 0.5803 0.7570 Rh
0.4197 0.4197 0.2430 Rh
0.5803 0.0824 0.7570 Rh
0.3326 0.3326 0.0022 Rh
0.6674 0.6674 0.9978 Rh
0.5000 0.5000 0.5000 Rh
```

Summary:
For the total magnetic moment, the calculation gives 0.000 μB per formula unit. The value obtained for the calculated density is 10.58 g cm⁻³. As for the energy of formation: -0.576 eV per atom.

A crystal of TaTcRu2 relaxed with PBEsol. Source: the Alexandria database, functional meta-GGA SCAN.

```
TaTcRu2
1.0
-2.5183 2.7432 -2.2740
-0.1248 -0.2539 -4.3541
-3.5867 -1.4782 -1.9972
Ru Ta Tc
2 1 1
direct
0.0000 0.0000 0.0000 Ru
0.7500 0.7500 0.7500 Ru
0.5000 0.5000 0.5000 Ta
0.2500 0.2500 0.2500 Tc
```

Summary:
For the total magnetic moment, the calculation gives 2.301 μB per formula unit. As for the energy relative to the lowest polymorph listed for this composition: 18 meV per atom. The value obtained for the calculated density is 13.60 g cm⁻³. As for the energy of formation: 0.060 eV per atom.

A crystal of TcAg2Ir relaxed with PBEsol. Source: the Alexandria database, functional meta-GGA SCAN.

```
TcAg2Ir
1.0
-3.2181 -1.7624 -0.7580
1.1132 -2.9210 2.0654
-0.7604 4.1387 2.8649
Ag Ir Tc
2 1 1
direct
0.7500 0.2500 0.5000 Ag
0.2500 0.7500 0.5000 Ag
0.5000 0.5000 0.0000 Ir
0.0000 0.0000 0.0000 Tc
```

Summary:
For the total magnetic moment, the calculation gives 2.295 μB per formula unit. As for the energy relative to the lowest polymorph listed for this composition: 217 meV per atom. The value obtained for the calculated density is 13.77 g cm⁻³. As for the energy of formation: 0.579 eV per atom.

A crystal of GaAsPBr2 relaxed with PBEsol. Source: the Alexandria database, functional meta-GGA SCAN.

```
GaAsPBr2
1.0
4.8831 0.0000 0.0000
0.0000 4.8831 0.0000
0.0000 0.0000 5.2584
P As Ga Br
1 1 1 2
direct
0.5000 0.5000 0.5000 P
0.0000 0.0000 0.5000 As
0.0000 0.0000 0.0000 Ga
0.0000 0.5000 0.0000 Br
0.5000 0.0000 0.0000 Br
```

Summary:
For the total magnetic moment, the calculation gives 1.000 μB per formula unit. The value obtained for the calculated density is 4.44 g cm⁻³. Its uncorrected formation energy is 0.59 eV per atom.

A crystal of TaNiMo relaxed with PBEsol. Source: the Alexandria database, functional meta-GGA SCAN.

```
TaNiMo
1.0
2.6686 0.0000 0.0000
0.0000 2.6686 0.0000
-1.3343 -1.3343 6.0448
Mo Ni Ta
1 1 1
direct
0.0137 0.0137 0.0274 Mo
0.6638 0.6638 0.3276 Ni
0.3225 0.3225 0.6451 Ta
```

Summary:
For the total magnetic moment, the calculation gives 0.000 μB per formula unit. As for the energy relative to the lowest polymorph listed for this composition: 0 meV per atom. The value obtained for the calculated density is 12.94 g cm⁻³. As for the energy of formation: -0.029 eV per atom.

A crystal of Mg2GeB2Rh5 relaxed with PBEsol. Source: the Alexandria database, functional meta-GGA SCAN.

```
Mg2GeB2Rh5
1.0
-0.9755 1.1201 2.4847
-7.7943 -5.0232 -0.7954
4.0038 -6.9580 4.7087
Mg Ge B Rh
4 2 4 10
direct
0.0000 0.8254 0.3254 Mg
0.0000 0.3254 0.1746 Mg
0.0000 0.6746 0.8254 Mg
0.0000 0.1746 0.6746 Mg
0.0000 0.0000 0.0000 Ge
0.0000 0.5000 0.5000 Ge
0.0000 0.6247 0.1247 B
0.0000 0.1247 0.3753 B
0.0000 0.8753 0.6247 B
0.0000 0.3753 0.8753 B
0.5000 0.0722 0.2131 Rh
0.5000 0.2131 0.9278 Rh
0.5000 0.7869 0.0722 Rh
0.5000 0.9278 0.7869 Rh
0.5000 0.4278 0.7131 Rh
0.5000 0.5722 0.2869 Rh
0.5000 0.7131 0.5722 Rh
0.5000 0.2869 0.4278 Rh
0.5000 0.5000 0.0000 Rh
0.5000 0.0000 0.5000 Rh
```

Summary:
For the total magnetic moment, the calculation gives 0.000 μB per formula unit. The value obtained for the calculated density is 8.71 g cm⁻³. As for the energy of formation: -0.756 eV per atom.

A crystal of ZnFe2C2 relaxed with PBEsol. Source: the Alexandria database, functional meta-GGA SCAN.

```
ZnFe2C2
1.0
2.7416 0.0000 0.0000
0.0000 2.7416 0.0000
-1.3708 -1.3708 5.8727
C Zn Fe
2 1 2
direct
0.2500 0.7500 0.5000 C
0.7500 0.2500 0.5000 C
0.0000 0.0000 0.0000 Zn
0.3633 0.3633 0.7265 Fe
0.6367 0.6367 0.2735 Fe
```

Summary:
For the total magnetic moment, the calculation gives 0.000 μB per formula unit. The value obtained for the calculated density is 7.57 g cm⁻³. As for the energy of formation: 0.666 eV per atom.

A crystal of CaP2H2O7 relaxed with PBEsol. Source: the Alexandria database, functional meta-GGA SCAN.

```
CaP2H2O7
1.0
-5.1963 -1.5644 -0.1824
1.7545 -4.6374 2.2130
-0.5539 5.2306 8.3176
Ca H O P
2 4 14 4
direct
0.0000 0.0000 0.0000 Ca
0.0000 0.0000 0.5000 Ca
0.0833 0.4822 0.3499 H
0.5178 0.9167 0.1501 H
0.9167 0.5178 0.6501 H
0.4822 0.0833 0.8499 H
0.7302 0.7856 0.1260 O
0.2144 0.2698 0.3740 O
0.2698 0.2144 0.8740 O
0.7856 0.7302 0.6260 O
0.9759 0.6323 0.3272 O
0.3677 0.0241 0.1728 O
0.0241 0.3677 0.6728 O
0.6323 0.9759 0.8272 O
0.8525 0.3359 0.1038 O
0.6641 0.1475 0.3962 O
0.1475 0.6641 0.8962 O
0.3359 0.8525 0.6038 O
0.5197 0.4803 0.2500 O
0.4803 0.5197 0.7500 O
0.7781 0.5533 0.1928 P
0.4467 0.2219 0.3072 P
0.2219 0.4467 0.8072 P
0.5533 0.7781 0.6928 P
```

Summary:
For the total magnetic moment, the calculation gives 0.000 μB per formula unit. The value obtained for the calculated density is 2.53 g cm⁻³. For the total energy, the calculation gives -219.08 eV per cell.

A crystal of Sc2CdCo relaxed with PBEsol. Source: the Alexandria database, functional meta-GGA SCAN.

```
Sc2CdCo
1.0
3.1450 0.0000 0.0000
0.0000 3.1450 0.0000
0.0000 0.0000 7.1996
Sc Co Cd
2 1 1
direct
0.0000 0.0000 0.7081 Sc
0.0000 0.0000 0.2919 Sc
0.5000 0.5000 0.5000 Co
0.5000 0.5000 0.0000 Cd
```

Summary:
For the total magnetic moment, the calculation gives 0.950 μB per formula unit. The value obtained for the calculated density is 6.09 g cm⁻³. As for the energy of formation: -0.430 eV per atom.

A crystal of NaAuCl4 relaxed with PBEsol. Source: the Alexandria database, functional meta-GGA SCAN.

```
NaAuCl4
1.0
4.2167 0.0000 0.0000
0.0000 6.5677 0.0404
0.0000 0.0838 10.9309
Na Au Cl
2 2 8
direct
0.0000 0.0000 0.5000 Na
0.5000 0.5000 0.0000 Na
0.5000 0.5000 0.5000 Au
0.0000 0.0000 0.0000 Au
0.4963 0.7927 0.3836 Cl
0.9963 0.7073 0.1164 Cl
0.5037 0.2073 0.6164 Cl
0.0037 0.2927 0.8836 Cl
0.1840 0.3447 0.3581 Cl
0.6840 0.1553 0.1419 Cl
0.8160 0.6553 0.6419 Cl
0.3160 0.8447 0.8581 Cl
```

Summary:
For the total magnetic moment, the calculation gives 0.000 μB per formula unit. The value obtained for the calculated density is 3.97 g cm⁻³. Its uncorrected formation energy is -0.97 eV per atom.

A crystal of BaZn3Ni relaxed with PBEsol. Source: the Alexandria database, functional meta-GGA SCAN.

```
BaZn3Ni
1.0
-1.6584 -4.3451 -0.6112
1.0218 -1.0179 4.4635
-4.2672 1.4449 1.3064
Ni Zn Ba
1 3 1
direct
0.0000 0.0000 0.0000 Ni
0.0000 0.5000 0.0000 Zn
0.0000 0.0000 0.5000 Zn
0.5000 0.0000 0.0000 Zn
0.5000 0.5000 0.5000 Ba
```

Summary:
For the total magnetic moment, the calculation gives 0.000 μB per formula unit. The value obtained for the calculated density is 6.31 g cm⁻³. As for the energy of formation: -0.210 eV per atom.

A crystal of SmCuSn relaxed with PBEsol. Source: the Alexandria database, functional meta-GGA SCAN.

```
SmCuSn
1.0
4.4833 0.0000 0.0000
-2.2416 3.8826 0.0000
0.0000 0.0000 7.5626
Cu Sn Sm
2 2 2
direct
0.6667 0.3333 0.7500 Cu
0.3333 0.6667 0.2500 Cu
0.3333 0.6667 0.7500 Sn
0.6667 0.3333 0.2500 Sn
0.0000 0.0000 0.5000 Sm
0.0000 0.0000 0.0000 Sm
```

Summary:
For the total magnetic moment, the calculation gives 0.000 μB per formula unit. The value obtained for the calculated density is 8.39 g cm⁻³. As for the energy of formation: -0.682 eV per atom.

A crystal of Sc2AlNi relaxed with PBEsol. Source: the Alexandria database, functional meta-GGA SCAN.

```
Sc2AlNi
1.0
3.3322 0.0000 0.0000
0.0000 4.5321 0.0000
0.0000 0.0000 4.5321
Sc Ni Al
2 1 1
direct
0.0000 0.0000 0.5000 Sc
0.0000 0.5000 0.0000 Sc
0.5000 0.0000 0.0000 Ni
0.5000 0.5000 0.5000 Al
```

Summary:
For the total magnetic moment, the calculation gives 0.007 μB per formula unit. The value obtained for the calculated density is 4.26 g cm⁻³. As for the energy of formation: -0.445 eV per atom.

A crystal of RbLaRu3 relaxed with PBEsol. Source: the Alexandria database, functional meta-GGA SCAN.

```
RbLaRu3
1.0
4.9655 0.0000 0.0000
0.0000 4.9655 0.0000
0.0000 0.0000 4.9655
Ru Rb La
3 1 1
direct
0.0000 0.5000 0.0000 Ru
0.0000 0.0000 0.5000 Ru
0.5000 0.0000 0.0000 Ru
0.5000 0.5000 0.5000 Rb
0.0000 0.0000 0.0000 La
```

Summary:
For the total magnetic moment, the calculation gives 3.700 μB per formula unit. The value obtained for the calculated density is 7.16 g cm⁻³. As for the energy of formation: 1.750 eV per atom.